The following is a GGA+U calculation of an optimized crystal structure of Ti3VCr2P6O24, from the Alexandria database.

Unit cell a=8.6455 b=8.6455 c=21.2972 alpha=90.00 beta=90.00 gamma=120.00
Space group R3 (No. 146, hexagonal axes)
Inequivalent atoms, fractional coordinates:
Ti: 0.0000 0.0000 0.0000
Ti: 0.0000 0.0000 0.2099
Ti: 0.0000 0.0000 0.7093
V: 0.0000 0.0000 0.4966
Cr: 0.0000 0.0000 0.3542
Cr: 0.0000 0.0000 0.8563
P: 0.0406 0.3726 0.2710
P: 0.0418 0.6685 0.7710
O: 0.9997 0.8094 0.1643
O: 0.0089 0.2060 0.5445
O: 0.0198 0.8358 0.7760
O: 0.0270 0.1855 0.2767
O: 0.1457 0.4778 0.3305
O: 0.1549 0.6824 0.7131
O: 0.1604 0.4879 0.6046
O: 0.1685 0.6941 0.0963

Calculated values
**DFT total energy**: -7.83 eV per atom
**DOS at the Fermi energy**: 51.19 states/eV/cell